[1]
# HfNiH3 PBE-GGA optimized geometry
# energy	-4.9228	eV/atom
# space-group type	Pm-3m
data_HfNiH3
_chemical_formula_sum 'Hf1 Ni1 H3'
_cell_length_a 3.650
_cell_length_b 3.650
_cell_length_c 3.650
_cell_angle_alpha 90.00
_cell_angle_beta 90.00
_cell_angle_gamma 90.00
_space_group_name_H-M_alt 'P 1'
_space_group_IT_number 1
loop_
_space_group_symop_operation_xyz
'x,y,z'
loop_
_atom_site_label
_atom_site_fract_x
_atom_site_fract_y
_atom_site_fract_z
Hf1 0.000 0.000 0.000
Ni1 0.500 0.500 0.500
H1 0.000 0.000 0.500
H2 0.000 0.500 0.000
H3 0.500 0.000 0.000



[2]
# PbAu3S PBE-GGA optimized geometry
# space-group type	Pm-3m
# uncorrected formation energy	1.7	eV per formula unit
data_PbAu3S
_chemical_formula_sum 'Pb1 Au3 S1'
_cell_length_a 4.913
_cell_length_b 4.913
_cell_length_c 4.913
_cell_angle_alpha 90.00
_cell_angle_beta 90.00
_cell_angle_gamma 90.00
_space_group_name_H-M_alt 'P 1'
_space_group_IT_number 1
loop_
_space_group_symop_operation_xyz
'x,y,z'
loop_
_atom_site_label
_atom_site_fract_x
_atom_site_fract_y
_atom_site_fract_z
Pb1 0.000 0.000 0.000
Au1 0.000 0.500 0.500
Au2 0.500 0.000 0.500
Au3 0.500 0.500 0.000
S1 0.500 0.500 0.500



[3]
# TlAgSb2 PBE-GGA optimized geometry
# space-group type	Cm
# uncorrected formation energy	0.5	eV per formula unit
data_TlAgSb2
_chemical_formula_sum 'Tl1 Ag1 Sb2'
_cell_length_a 4.984
_cell_length_b 4.984
_cell_length_c 7.273
_cell_angle_alpha 116.83
_cell_angle_beta 116.83
_cell_angle_gamma 49.26
_space_group_name_H-M_alt 'P 1'
_space_group_IT_number 1
loop_
_space_group_symop_operation_xyz
'x,y,z'
loop_
_atom_site_label
_atom_site_fract_x
_atom_site_fract_y
_atom_site_fract_z
Tl1 0.000 0.000 0.000
Ag1 0.217 0.217 0.526
Sb1 0.574 0.574 0.694
Sb2 0.858 0.858 0.350



[4]
# LaPuRu2 PBE-GGA optimized geometry
# space-group type	P2/c
# ΔH_f (0 K)	-124	meV/atom
data_LaPuRu2
_chemical_formula_sum 'La4 Pu4 Ru8'
_cell_length_a 5.955
_cell_length_b 5.556
_cell_length_c 11.159
_cell_angle_alpha 90.00
_cell_angle_beta 103.61
_cell_angle_gamma 90.00
_space_group_name_H-M_alt 'P 1'
_space_group_IT_number 1
loop_
_space_group_symop_operation_xyz
'x,y,z'
loop_
_atom_site_label
_atom_site_fract_x
_atom_site_fract_y
_atom_site_fract_z
La1 0.186 0.219 0.137
La2 0.186 0.781 0.637
La3 0.814 0.219 0.363
La4 0.814 0.781 0.863
Pu1 0.360 0.290 0.866
Pu2 0.360 0.710 0.366
Pu3 0.640 0.290 0.634
Pu4 0.640 0.710 0.134
Ru1 0.130 0.284 0.654
Ru2 0.130 0.716 0.154
Ru3 0.342 0.203 0.454
Ru4 0.342 0.797 0.954
Ru5 0.658 0.203 0.046
Ru6 0.658 0.797 0.546
Ru7 0.870 0.284 0.846
Ru8 0.870 0.716 0.346



[5]
# KBe2Zn2 PBE-GGA optimized geometry
# space-group type	I4/mmm
# ΔH_f (0 K)	407	meV/atom
data_KBe2Zn2
_chemical_formula_sum 'K1 Be2 Zn2'
_cell_length_a 6.534
_cell_length_b 6.534
_cell_length_c 6.534
_cell_angle_alpha 141.48
_cell_angle_beta 141.48
_cell_angle_gamma 55.61
_space_group_name_H-M_alt 'P 1'
_space_group_IT_number 1
loop_
_space_group_symop_operation_xyz
'x,y,z'
loop_
_atom_site_label
_atom_site_fract_x
_atom_site_fract_y
_atom_site_fract_z
K1 0.000 0.000 0.000
Be1 0.250 0.750 0.500
Be2 0.750 0.250 0.500
Zn1 0.312 0.312 0.000
Zn2 0.688 0.688 0.000



[6]
# Y2Pt2O PBE-GGA optimized geometry
# space-group type	P4/mbm
# uncorrected formation energy	-4.4	eV per formula unit
data_Y2Pt2O
_chemical_formula_sum 'Y4 Pt4 O2'
_cell_length_a 7.598
_cell_length_b 7.598
_cell_length_c 3.579
_cell_angle_alpha 90.00
_cell_angle_beta 90.00
_cell_angle_gamma 90.00
_space_group_name_H-M_alt 'P 1'
_space_group_IT_number 1
loop_
_space_group_symop_operation_xyz
'x,y,z'
loop_
_atom_site_label
_atom_site_fract_x
_atom_site_fract_y
_atom_site_fract_z
Y1 0.179 0.321 0.000
Y2 0.321 0.821 0.000
Y3 0.679 0.179 0.000
Y4 0.821 0.679 0.000
Pt1 0.125 0.625 0.500
Pt2 0.375 0.125 0.500
Pt3 0.625 0.875 0.500
Pt4 0.875 0.375 0.500
O1 0.000 0.000 0.500
O2 0.500 0.500 0.500



[7]
# ScTl2Se PBE-GGA optimized geometry
# space-group type	F-43m
# uncorrected formation energy	-0.7	eV per formula unit
data_ScTl2Se
_chemical_formula_sum 'Sc1 Tl2 Se1'
_cell_length_a 5.203
_cell_length_b 5.203
_cell_length_c 5.203
_cell_angle_alpha 60.00
_cell_angle_beta 60.00
_cell_angle_gamma 60.00
_space_group_name_H-M_alt 'P 1'
_space_group_IT_number 1
loop_
_space_group_symop_operation_xyz
'x,y,z'
loop_
_atom_site_label
_atom_site_fract_x
_atom_site_fract_y
_atom_site_fract_z
Sc1 0.000 0.000 0.000
Tl1 0.250 0.250 0.250
Tl2 0.500 0.500 0.500
Se1 0.750 0.750 0.750



[8]
# Pr5Ag2Pt PBE-GGA optimized geometry
# space-group type	Cmcm
# ΔH_f (0 K)	-242	meV/atom
data_Pr5Ag2Pt
_chemical_formula_sum 'Pr10 Ag4 Pt2'
_cell_length_a 6.298
_cell_length_b 6.298
_cell_length_c 15.597
_cell_angle_alpha 90.00
_cell_angle_beta 90.00
_cell_angle_gamma 126.19
_space_group_name_H-M_alt 'P 1'
_space_group_IT_number 1
loop_
_space_group_symop_operation_xyz
'x,y,z'
loop_
_atom_site_label
_atom_site_fract_x
_atom_site_fract_y
_atom_site_fract_z
Pr1 0.086 0.914 0.604
Pr2 0.086 0.914 0.896
Pr3 0.263 0.737 0.250
Pr4 0.405 0.595 0.597
Pr5 0.405 0.595 0.903
Pr6 0.595 0.405 0.097
Pr7 0.595 0.405 0.403
Pr8 0.737 0.263 0.750
Pr9 0.914 0.086 0.104
Pr10 0.914 0.086 0.396
Ag1 0.241 0.759 0.058
Ag2 0.241 0.759 0.442
Ag3 0.759 0.241 0.558
Ag4 0.759 0.241 0.942
Pt1 0.253 0.747 0.750
Pt2 0.747 0.253 0.250



What did the second record say?
# PbAu3S PBE-GGA optimized geometry
# space-group type	Pm-3m
# uncorrected formation energy	1.7	eV per formula unit
data_PbAu3S
_chemical_formula_sum 'Pb1 Au3 S1'
_cell_length_a 4.913
_cell_length_b 4.913
_cell_length_c 4.913
_cell_angle_alpha 90.00
_cell_angle_beta 90.00
_cell_angle_gamma 90.00
_space_group_name_H-M_alt 'P 1'
_space_group_IT_number 1
loop_
_space_group_symop_operation_xyz
'x,y,z'
loop_
_atom_site_label
_atom_site_fract_x
_atom_site_fract_y
_atom_site_fract_z
Pb1 0.000 0.000 0.000
Au1 0.000 0.500 0.500
Au2 0.500 0.000 0.500
Au3 0.500 0.500 0.000
S1 0.500 0.500 0.500